Record 1
# PBE TiF6, optimized geometry
data_TiF6
_cell_length_a 3.1160
_cell_length_b 10.3680
_cell_length_c 13.8677
_cell_angle_alpha 90.00
_cell_angle_beta 93.18
_cell_angle_gamma 90.00
_space_group_name_H-M_alt 'C 1 2/c 1'
_space_group_IT_number 15
_space_group_name_Hall '-C 2yc'
loop_
_atom_site_label
_atom_site_type_symbol
_atom_site_fract_x
_atom_site_fract_y
_atom_site_fract_z
Ti1 Ti 0.0000 0.0000 0.0000
F1 F 0.0093 0.3941 0.0414
F2 F 0.0287 0.0818 0.1138
F3 F 0.1029 0.2016 0.7055
# - Raw formation energy: -2.280 eV per atom
# - Magnetic moment: 0.41 Bohr magnetons per cell
# - Final energy: -0.1842 hartree per atom


Record 2
# PBE TiF, optimized geometry
data_TiF
_cell_length_a 5.0893
_cell_length_b 2.9567
_cell_length_c 7.5671
_cell_angle_alpha 90.00
_cell_angle_beta 90.42
_cell_angle_gamma 90.00
_space_group_name_H-M_alt 'C 1 m 1'
_space_group_IT_number 8
_space_group_name_Hall 'C -2y'
loop_
_atom_site_label
_atom_site_type_symbol
_atom_site_fract_x
_atom_site_fract_y
_atom_site_fract_z
Ti1 Ti 0.0000 0.0000 0.0000
Ti2 Ti 0.1672 0.5000 0.2896
F1 F 0.0040 0.0000 0.4602
F2 F 0.3323 0.0000 0.8358
# - Raw formation energy: -2.228 eV per atom
# - Magnetic moment: 0.00 Bohr magnetons per cell
# - Final energy: -0.2613 hartree per atom


Record 3
# PBE TiF, optimized geometry
data_TiF
_cell_length_a 7.5408
_cell_length_b 2.8118
_cell_length_c 5.7228
_cell_angle_alpha 90.00
_cell_angle_beta 121.78
_cell_angle_gamma 90.00
_space_group_name_H-M_alt 'C 1 2/m 1'
_space_group_IT_number 12
_space_group_name_Hall '-C 2y'
loop_
_atom_site_label
_atom_site_type_symbol
_atom_site_fract_x
_atom_site_fract_y
_atom_site_fract_z
Ti1 Ti 0.1796 0.0000 0.2547
F1 F 0.1195 0.0000 0.7829
# - Raw formation energy: -1.737 eV per atom
# - Magnetic moment: 0.00 Bohr magnetons per cell
# - Final energy: -0.2433 hartree per atom


Record 4
# PBE TiF, optimized geometry
data_TiF
_cell_length_a 4.8825
_cell_length_b 4.8825
_cell_length_c 4.8825
_cell_angle_alpha 90.00
_cell_angle_beta 90.00
_cell_angle_gamma 90.00
_space_group_name_H-M_alt 'F -4 3 m'
_space_group_IT_number 216
_space_group_name_Hall 'F -4 2 3'
loop_
_atom_site_label
_atom_site_type_symbol
_atom_site_fract_x
_atom_site_fract_y
_atom_site_fract_z
Ti1 Ti 0.0000 0.0000 0.0000
F1 F 0.2500 0.2500 0.2500
# - Raw formation energy: -1.422 eV per atom
# - Magnetic moment: 3.97 Bohr magnetons per cell
# - Final energy: -0.2317 hartree per atom


Record 5
# PBE TiF, optimized geometry
data_TiF
_cell_length_a 2.8568
_cell_length_b 2.8568
_cell_length_c 10.9127
_cell_angle_alpha 90.00
_cell_angle_beta 90.00
_cell_angle_gamma 120.00
_space_group_name_H-M_alt 'R 3 m'
_space_group_IT_number 160
_space_group_name_Hall 'R 3 -2"'
loop_
_atom_site_label
_atom_site_type_symbol
_atom_site_fract_x
_atom_site_fract_y
_atom_site_fract_z
Ti1 Ti 0.0000 0.0000 0.0000
F1 F 0.0000 0.0000 0.1970
# - Raw formation energy: -1.736 eV per atom
# - Magnetic moment: 2.60 Bohr magnetons per cell
# - Final energy: -0.2432 hartree per atom


Record 6
# PBE TiF, optimized geometry
data_TiF
_cell_length_a 6.1132
_cell_length_b 6.1132
_cell_length_c 6.1132
_cell_angle_alpha 90.00
_cell_angle_beta 90.00
_cell_angle_gamma 90.00
_space_group_name_H-M_alt 'P m -3 n'
_space_group_IT_number 223
_space_group_name_Hall '-P 4n 2 3'
loop_
_atom_site_label
_atom_site_type_symbol
_atom_site_fract_x
_atom_site_fract_y
_atom_site_fract_z
Ti1 Ti 0.0000 0.2500 0.5000
F1 F 0.0000 0.5000 0.2500
# - Raw formation energy: -1.045 eV per atom
# - Magnetic moment: 13.89 Bohr magnetons per cell
# - Final energy: -0.2178 hartree per atom


Record 7
# PBE TiF, optimized geometry
data_TiF
_cell_length_a 4.6441
_cell_length_b 4.6441
_cell_length_c 4.6441
_cell_angle_alpha 90.00
_cell_angle_beta 90.00
_cell_angle_gamma 90.00
_space_group_name_H-M_alt 'F m -3 m'
_space_group_IT_number 225
_space_group_name_Hall '-F 4 2 3'
loop_
_atom_site_label
_atom_site_type_symbol
_atom_site_fract_x
_atom_site_fract_y
_atom_site_fract_z
Ti1 Ti 0.0000 0.0000 0.0000
F1 F 0.0000 0.0000 0.5000
# - Raw formation energy: -1.120 eV per atom
# - Magnetic moment: 2.16 Bohr magnetons per cell
# - Final energy: -0.2206 hartree per atom


Record 8
# PBE TiF, optimized geometry
data_TiF
_cell_length_a 5.1633
_cell_length_b 2.9813
_cell_length_c 7.6522
_cell_angle_alpha 90.00
_cell_angle_beta 103.55
_cell_angle_gamma 90.00
_space_group_name_H-M_alt 'C 1 2/m 1'
_space_group_IT_number 12
_space_group_name_Hall '-C 2y'
loop_
_atom_site_label
_atom_site_type_symbol
_atom_site_fract_x
_atom_site_fract_y
_atom_site_fract_z
Ti1 Ti 0.2167 0.0000 0.1440
F1 F 0.1076 0.5000 0.3098
# - Raw formation energy: -2.288 eV per atom
# - Magnetic moment: 0.00 Bohr magnetons per cell
# - Final energy: -0.2635 hartree per atom


Record 9
# PBE TiF, optimized geometry
data_TiF
_cell_length_a 8.7402
_cell_length_b 8.7402
_cell_length_c 3.0366
_cell_angle_alpha 90.00
_cell_angle_beta 90.00
_cell_angle_gamma 90.00
_space_group_name_H-M_alt 'I 4/m'
_space_group_IT_number 87
_space_group_name_Hall '-I 4'
loop_
_atom_site_label
_atom_site_type_symbol
_atom_site_fract_x
_atom_site_fract_y
_atom_site_fract_z
Ti1 Ti 0.0962 0.3474 0.0000
F1 F 0.1245 0.7798 0.0000
# - Raw formation energy: -1.894 eV per atom
# - Magnetic moment: 3.60 Bohr magnetons per cell
# - Final energy: -0.2491 hartree per atom


Record 10
# PBE TiF, optimized geometry
data_TiF
_cell_length_a 2.7163
_cell_length_b 2.7163
_cell_length_c 7.1844
_cell_angle_alpha 90.00
_cell_angle_beta 90.00
_cell_angle_gamma 90.00
_space_group_name_H-M_alt 'P 4/n m m'
_space_group_IT_number 129
loop_
_space_group_symop_operation_xyz
'x,y,z'
'-x,-y,-z'
'-y+1/2,x,z'
'y+1/2,-x,-z'
'-x+1/2,-y+1/2,z'
'x+1/2,y+1/2,-z'
'y,-x+1/2,z'
'-y,x+1/2,-z'
'x+1/2,-y,-z'
'-x+1/2,y,z'
'-y,-x,-z'
'y,x,z'
'-x,y+1/2,-z'
'x,-y+1/2,z'
'y+1/2,x+1/2,-z'
'-y+1/2,-x+1/2,z'
loop_
_atom_site_label
_atom_site_type_symbol
_atom_site_fract_x
_atom_site_fract_y
_atom_site_fract_z
Ti1 Ti 0.2500 0.2500 0.1565
F1 F 0.2500 0.2500 0.6823
# - Raw formation energy: -1.954 eV per atom
# - Magnetic moment: 0.00 Bohr magnetons per cell
# - Final energy: -0.2513 hartree per atom


Record 11
# PBE TiF, optimized geometry
data_TiF
_cell_length_a 8.7873
_cell_length_b 8.7873
_cell_length_c 3.0757
_cell_angle_alpha 90.00
_cell_angle_beta 90.00
_cell_angle_gamma 90.00
_space_group_name_H-M_alt 'P 4/m'
_space_group_IT_number 83
_space_group_name_Hall '-P 4'
loop_
_atom_site_label
_atom_site_type_symbol
_atom_site_fract_x
_atom_site_fract_y
_atom_site_fract_z
Ti1 Ti 0.0670 0.3546 0.0000
Ti2 Ti 0.1696 0.6170 0.5000
F1 F 0.1460 0.7981 0.0000
F2 F 0.2573 0.3929 0.5000
# - Raw formation energy: -1.910 eV per atom
# - Magnetic moment: 4.02 Bohr magnetons per cell
# - Final energy: -0.2496 hartree per atom


Record 12
# PBE TiF, optimized geometry
data_TiF
_cell_length_a 2.9228
_cell_length_b 5.0791
_cell_length_c 3.9257
_cell_angle_alpha 90.00
_cell_angle_beta 90.00
_cell_angle_gamma 90.00
_space_group_name_H-M_alt 'C m m m'
_space_group_IT_number 65
_space_group_name_Hall '-C 2 2'
loop_
_atom_site_label
_atom_site_type_symbol
_atom_site_fract_x
_atom_site_fract_y
_atom_site_fract_z
Ti1 Ti 0.0000 0.0000 0.0000
F1 F 0.0000 0.0000 0.5000
# - Raw formation energy: -1.784 eV per atom
# - Magnetic moment: 0.01 Bohr magnetons per cell
# - Final energy: -0.2450 hartree per atom


Record 13
# PBE TiF, optimized geometry
data_TiF
_cell_length_a 4.8582
_cell_length_b 6.0089
_cell_length_c 6.8846
_cell_angle_alpha 90.00
_cell_angle_beta 90.00
_cell_angle_gamma 90.00
_space_group_name_H-M_alt 'P 21 21 21'
_space_group_IT_number 19
_space_group_name_Hall 'P 2ac 2ab'
loop_
_atom_site_label
_atom_site_type_symbol
_atom_site_fract_x
_atom_site_fract_y
_atom_site_fract_z
Ti1 Ti 0.0129 0.0355 0.3363
Ti2 Ti 0.0466 0.6556 0.5599
F1 F 0.1151 0.8583 0.0590
F2 F 0.1321 0.4844 0.8638
# - Raw formation energy: -1.680 eV per atom
# - Magnetic moment: 0.00 Bohr magnetons per cell
# - Final energy: -0.2412 hartree per atom


Record 14
# PBE TiF, optimized geometry
data_TiF
_cell_length_a 8.5601
_cell_length_b 3.7816
_cell_length_c 4.6039
_cell_angle_alpha 90.00
_cell_angle_beta 90.00
_cell_angle_gamma 90.00
_space_group_name_H-M_alt 'P m n 21'
_space_group_IT_number 31
_space_group_name_Hall 'P 2ac -2'
loop_
_atom_site_label
_atom_site_type_symbol
_atom_site_fract_x
_atom_site_fract_y
_atom_site_fract_z
Ti1 Ti 0.0000 0.2029 0.0000
Ti2 Ti 0.1729 0.5880 0.5192
F1 F 0.0000 0.0979 0.5235
F2 F 0.2190 0.9284 0.9346
# - Raw formation energy: -1.623 eV per atom
# - Magnetic moment: 0.66 Bohr magnetons per cell
# - Final energy: -0.2391 hartree per atom


Record 15
# PBE TiF, optimized geometry
data_TiF
_cell_length_a 2.8555
_cell_length_b 2.8555
_cell_length_c 7.2841
_cell_angle_alpha 90.00
_cell_angle_beta 90.00
_cell_angle_gamma 120.00
_space_group_name_H-M_alt 'P 63 m c'
_space_group_IT_number 186
_space_group_name_Hall 'P 6c -2c'
loop_
_atom_site_label
_atom_site_type_symbol
_atom_site_fract_x
_atom_site_fract_y
_atom_site_fract_z
Ti1 Ti 0.3333 0.6667 0.0000
F1 F 0.3333 0.6667 0.7045
# - Raw formation energy: -1.734 eV per atom
# - Magnetic moment: 1.74 Bohr magnetons per cell
# - Final energy: -0.2432 hartree per atom


Record 16
# PBE TiF, optimized geometry
data_TiF
_cell_length_a 2.8675
_cell_length_b 9.2551
_cell_length_c 6.7437
_cell_angle_alpha 90.00
_cell_angle_beta 90.00
_cell_angle_gamma 90.00
_space_group_name_H-M_alt 'P m m n'
_space_group_IT_number 59
loop_
_space_group_symop_operation_xyz
'x,y,z'
'-x,-y,-z'
'-x+1/2,-y+1/2,z'
'x+1/2,y+1/2,-z'
'x+1/2,-y,-z'
'-x+1/2,y,z'
'-x,y+1/2,-z'
'x,-y+1/2,z'
loop_
_atom_site_label
_atom_site_type_symbol
_atom_site_fract_x
_atom_site_fract_y
_atom_site_fract_z
Ti1 Ti 0.2500 0.0947 0.1824
Ti2 Ti 0.2500 0.7500 0.5276
F1 F 0.2500 0.2500 0.9785
F2 F 0.2500 0.5825 0.3396
# - Raw formation energy: -1.848 eV per atom
# - Magnetic moment: 1.73 Bohr magnetons per cell
# - Final energy: -0.2474 hartree per atom


Record 17
# PBE TiF, optimized geometry
data_TiF
_cell_length_a 6.3422
_cell_length_b 6.3422
_cell_length_c 2.8180
_cell_angle_alpha 90.00
_cell_angle_beta 90.00
_cell_angle_gamma 90.00
_space_group_name_H-M_alt 'P 42/m n m'
_space_group_IT_number 136
_space_group_name_Hall '-P 4n 2n'
loop_
_atom_site_label
_atom_site_type_symbol
_atom_site_fract_x
_atom_site_fract_y
_atom_site_fract_z
Ti1 Ti 0.2032 0.2032 0.0000
F1 F 0.1231 0.8769 0.0000
# - Raw formation energy: -1.485 eV per atom
# - Magnetic moment: 0.92 Bohr magnetons per cell
# - Final energy: -0.2340 hartree per atom


Record 18
# PBE TiF, optimized geometry
data_TiF
_cell_length_a 2.9475
_cell_length_b 2.9475
_cell_length_c 22.7497
_cell_angle_alpha 90.00
_cell_angle_beta 90.00
_cell_angle_gamma 120.00
_space_group_name_H-M_alt 'R 3 m'
_space_group_IT_number 160
_space_group_name_Hall 'R 3 -2"'
loop_
_atom_site_label
_atom_site_type_symbol
_atom_site_fract_x
_atom_site_fract_y
_atom_site_fract_z
Ti1 Ti 0.0000 0.0000 0.0000
Ti2 Ti 0.0000 0.0000 0.4296
F1 F 0.0000 0.0000 0.2766
F2 F 0.0000 0.0000 0.8176
# - Raw formation energy: -2.227 eV per atom
# - Magnetic moment: 0.00 Bohr magnetons per cell
# - Final energy: -0.2613 hartree per atom


Record 19
# PBE TiF, optimized geometry
data_TiF
_cell_length_a 7.8017
_cell_length_b 7.8017
_cell_length_c 3.1645
_cell_angle_alpha 90.00
_cell_angle_beta 90.00
_cell_angle_gamma 120.00
_space_group_name_H-M_alt 'P 63/m'
_space_group_IT_number 176
_space_group_name_Hall '-P 6c'
loop_
_atom_site_label
_atom_site_type_symbol
_atom_site_fract_x
_atom_site_fract_y
_atom_site_fract_z
Ti1 Ti 0.1656 0.7177 0.2500
F1 F 0.0309 0.7668 0.7500
# - Raw formation energy: -1.905 eV per atom
# - Magnetic moment: 1.90 Bohr magnetons per cell
# - Final energy: -0.2495 hartree per atom


Record 20
# PBE TiF, optimized geometry
data_TiF
_cell_length_a 3.2252
_cell_length_b 3.2252
_cell_length_c 4.8898
_cell_angle_alpha 90.00
_cell_angle_beta 90.00
_cell_angle_gamma 90.00
_space_group_name_H-M_alt 'P 4/n m m'
_space_group_IT_number 129
loop_
_space_group_symop_operation_xyz
'x,y,z'
'-x,-y,-z'
'-y+1/2,x,z'
'y+1/2,-x,-z'
'-x+1/2,-y+1/2,z'
'x+1/2,y+1/2,-z'
'y,-x+1/2,z'
'-y,x+1/2,-z'
'x+1/2,-y,-z'
'-x+1/2,y,z'
'-y,-x,-z'
'y,x,z'
'-x,y+1/2,-z'
'x,-y+1/2,z'
'y+1/2,x+1/2,-z'
'-y+1/2,-x+1/2,z'
loop_
_atom_site_label
_atom_site_type_symbol
_atom_site_fract_x
_atom_site_fract_y
_atom_site_fract_z
Ti1 Ti 0.2500 0.2500 0.1980
F1 F 0.2500 0.7500 0.5000
# - Raw formation energy: -1.928 eV per atom
# - Magnetic moment: 0.00 Bohr magnetons per cell
# - Final energy: -0.2503 hartree per atom


Record 21
# PBE TiF, optimized geometry
data_TiF
_cell_length_a 2.8315
_cell_length_b 3.9726
_cell_length_c 4.9361
_cell_angle_alpha 89.60
_cell_angle_beta 73.60
_cell_angle_gamma 89.92
_space_group_name_H-M_alt 'P 1'
_space_group_IT_number 1
_space_group_name_Hall 'P 1'
loop_
_atom_site_label
_atom_site_type_symbol
_atom_site_fract_x
_atom_site_fract_y
_atom_site_fract_z
Ti1 Ti 0.0000 0.0000 0.0000
Ti2 Ti 0.2756 0.2276 0.4545
F1 F 0.1904 0.7252 0.6262
F2 F 0.9158 0.5036 0.1700
# - Raw formation energy: -1.738 eV per atom
# - Magnetic moment: 0.00 Bohr magnetons per cell
# - Final energy: -0.2433 hartree per atom


Record 22
# PBE TiF, optimized geometry
data_TiF
_cell_length_a 4.2098
_cell_length_b 3.0371
_cell_length_c 4.3851
_cell_angle_alpha 90.00
_cell_angle_beta 109.70
_cell_angle_gamma 90.00
_space_group_name_H-M_alt 'P 1 21/m 1'
_space_group_IT_number 11
_space_group_name_Hall '-P 2yb'
loop_
_atom_site_label
_atom_site_type_symbol
_atom_site_fract_x
_atom_site_fract_y
_atom_site_fract_z
Ti1 Ti 0.1939 0.2500 0.3896
F1 F 0.1762 0.2500 0.8844
# - Raw formation energy: -1.734 eV per atom
# - Magnetic moment: 0.00 Bohr magnetons per cell
# - Final energy: -0.2432 hartree per atom